First-principles (PBE+U) data for crystalline NiS2O8 at its relaxed geometry, as listed in Alexandria via LeMat-Bulk.

a b c (Å): 4.764 5.928 5.928
angles (deg): 91.33 87.25 87.25
Site moments in Bohr magnetons follow the coordinates.
Element x y z (fractional)
O 0.212 0.271 0.998  -0.01
O 0.788 0.729 0.002  -0.01
O 0.283 0.393 0.393  0.20
O 0.212 0.998 0.271  -0.01
O 0.343 0.815 0.815  0.15
O 0.657 0.185 0.185  0.15
O 0.717 0.607 0.607  0.20
O 0.788 0.002 0.729  -0.01
Ni 0.000 0.000 0.000  1.34
S 0.649 0.780 0.780  -0.01
S 0.351 0.220 0.220  -0.01

Results
Calculated volume (Å³/f.u.): 167
VASP energy (Ry/atom): -0.407